(1)
Computed, not measured: Ca2La2Fe after structural relaxation at the PBE-GGA level of DFT.

POSCAR file:
```
Ca2La2Fe
1.0
7.125 0.000 0.000
0.000 7.125 0.000
0.000 0.000 6.440
Ca La Fe
4 4 2
direct
0.180 0.320 0.000
0.320 0.820 0.000
0.680 0.180 0.000
0.820 0.680 0.000
0.178 0.678 0.500
0.322 0.178 0.500
0.678 0.822 0.500
0.822 0.322 0.500
0.000 0.000 0.500
0.500 0.500 0.500
```

Output
* E_tot: -4.1819 eV per atom
* DOS(E_F): 5.94 states/eV per cell

=====

(2)
Computed, not measured: CuPPd4 after structural relaxation at the PBE-GGA level of DFT.

POSCAR file:
```
CuPPd4
1.0
3.580 -5.296 0.000
3.580 5.296 0.000
-1.643 0.000 4.711
Cu P Pd
2 2 8
direct
0.117 0.883 0.750
0.883 0.117 0.250
0.494 0.506 0.750
0.506 0.494 0.250
0.120 0.298 0.858
0.209 0.567 0.435
0.298 0.120 0.358
0.433 0.791 0.065
0.567 0.209 0.935
0.702 0.880 0.642
0.791 0.433 0.565
0.880 0.702 0.142
```

Output
* E_tot: -5.2105 eV per atom
* DOS(E_F): 5.44 states/eV per cell